Record 1
A plane-wave DFT calculation with PBE was carried out for SrHgS2 after structural relaxation.

Computed properties:
The value obtained for the uncorrected formation energy is -1059 meV/atom.

a b c (Å): 7.863 7.863 13.929
angles (deg): 93.94 93.94 92.20
Sites, in units of the cell vectors:
Sr 0.120 0.863 0.885
Sr 0.137 0.880 0.615
Sr 0.142 0.357 0.858
Sr 0.357 0.142 0.358
Sr 0.643 0.858 0.642
Sr 0.858 0.643 0.142
Sr 0.863 0.120 0.385
Sr 0.880 0.137 0.115
Hg 0.104 0.660 0.375
Hg 0.331 0.408 0.142
Hg 0.340 0.896 0.125
Hg 0.408 0.331 0.642
Hg 0.592 0.669 0.358
Hg 0.660 0.104 0.875
Hg 0.669 0.592 0.858
Hg 0.896 0.340 0.625
S 0.068 0.387 0.270
S 0.078 0.922 0.250
S 0.144 0.221 0.527
S 0.203 0.625 0.033
S 0.221 0.144 0.027
S 0.375 0.797 0.467
S 0.387 0.068 0.770
S 0.402 0.598 0.750
S 0.598 0.402 0.250
S 0.613 0.932 0.230
S 0.625 0.203 0.533
S 0.779 0.856 0.973
S 0.797 0.375 0.967
S 0.856 0.779 0.473
S 0.922 0.078 0.750
S 0.932 0.613 0.730

***

Record 2
A plane-wave DFT calculation with PBE was carried out for SrHgS2 after structural relaxation.

Computed properties:
The value obtained for the uncorrected formation energy is -1003 meV/atom.

a b c (Å): 4.328 4.328 7.195
angles (deg): 112.22 112.22 56.11
Sites, in units of the cell vectors:
Sr 0.000 0.000 0.000
Hg 0.500 0.500 0.500
S 0.219 0.219 0.737
S 0.781 0.781 0.263

***

Record 3
A plane-wave DFT calculation with PBE was carried out for SrHgS2 after structural relaxation.

Computed properties:
The value obtained for the uncorrected formation energy is -926 meV/atom.

a b c (Å): 10.596 10.596 5.196
angles (deg): 90.00 90.00 157.65
Sites, in units of the cell vectors:
Sr 0.172 0.828 0.750
Sr 0.828 0.172 0.250
Hg 0.436 0.564 0.750
Hg 0.564 0.436 0.250
S 0.312 0.688 0.750
S 0.439 0.561 0.250
S 0.561 0.439 0.750
S 0.688 0.312 0.250

***

Record 4
A plane-wave DFT calculation with PBE was carried out for SrHg3S after structural relaxation.

Computed properties:
The value obtained for the uncorrected formation energy is 19 meV/atom.

a b c (Å): 5.375 5.375 5.375
angles (deg): 90.00 90.00 90.00
Sites, in units of the cell vectors:
Sr 0.000 0.000 0.000
Hg 0.000 0.500 0.500
Hg 0.500 0.000 0.500
Hg 0.500 0.500 0.000
S 0.500 0.500 0.500

***

Record 5
A plane-wave DFT calculation with PBE was carried out for SrHgS2 after structural relaxation.

Computed properties:
The value obtained for the uncorrected formation energy is -1049 meV/atom.

a b c (Å): 4.323 4.323 6.937
angles (deg): 90.00 90.00 120.00
Sites, in units of the cell vectors:
Sr 0.000 0.000 0.000
Hg 0.333 0.667 0.446
S 0.333 0.667 0.797
S 0.667 0.333 0.275

***

Record 6
A plane-wave DFT calculation with PBE was carried out for SrHg3S after structural relaxation.

Computed properties:
The value obtained for the uncorrected formation energy is 429 meV/atom.

a b c (Å): 6.222 6.222 6.222
angles (deg): 90.00 90.00 90.00
Sites, in units of the cell vectors:
Sr 0.000 0.000 0.000
Hg 0.000 0.000 0.500
Hg 0.000 0.500 0.000
Hg 0.500 0.000 0.000
S 0.500 0.500 0.500

***

Record 7
A plane-wave DFT calculation with PBE was carried out for SrHgS2 after structural relaxation.

Computed properties:
The value obtained for the uncorrected formation energy is -1121 meV/atom.

a b c (Å): 7.699 7.699 6.987
angles (deg): 90.00 90.00 149.07
Sites, in units of the cell vectors:
Sr 0.103 0.897 0.500
Sr 0.897 0.103 0.000
Hg 0.352 0.648 0.490
Hg 0.648 0.352 0.990
S 0.269 0.731 0.196
S 0.472 0.528 0.719
S 0.528 0.472 0.219
S 0.731 0.269 0.696

***

Record 8
A plane-wave DFT calculation with PBE was carried out for SrHgS2 after structural relaxation.

Computed properties:
The value obtained for the uncorrected formation energy is -1063 meV/atom.

a b c (Å): 8.189 4.248 16.536
angles (deg): 90.00 119.43 90.00
Sites, in units of the cell vectors:
Sr 0.214 0.249 0.464
Sr 0.214 0.251 0.964
Sr 0.786 0.749 0.036
Sr 0.786 0.751 0.536
Hg 0.247 0.501 0.750
Hg 0.247 0.999 0.250
Hg 0.753 0.001 0.750
Hg 0.753 0.499 0.250
S 0.093 0.234 0.607
S 0.093 0.266 0.107
S 0.380 0.732 0.393
S 0.380 0.768 0.893
S 0.620 0.232 0.107
S 0.620 0.268 0.607
S 0.907 0.734 0.893
S 0.907 0.766 0.393

***

Record 9
A plane-wave DFT calculation with PBE was carried out for SrHgS2 after structural relaxation.

Computed properties:
The value obtained for the uncorrected formation energy is -1117 meV/atom.

a b c (Å): 8.036 8.036 8.095
angles (deg): 112.30 112.30 31.97
Sites, in units of the cell vectors:
Sr 0.250 0.250 0.250
Sr 0.750 0.750 0.750
Hg 0.751 0.249 0.250
Hg 0.751 0.249 0.750
S 0.143 0.148 0.847
S 0.358 0.350 0.653
S 0.650 0.642 0.347
S 0.852 0.857 0.153

***

Record 10
A plane-wave DFT calculation with PBE was carried out for SrHgS3 after structural relaxation.

Computed properties:
The value obtained for the uncorrected formation energy is 236 meV/atom.

a b c (Å): 5.764 5.764 5.764
angles (deg): 90.00 90.00 90.00
Sites, in units of the cell vectors:
Sr 0.000 0.000 0.000
Hg 0.500 0.500 0.500
S 0.000 0.000 0.500
S 0.000 0.500 0.000
S 0.500 0.000 0.000

***

Record 11
A plane-wave DFT calculation with PBE was carried out for SrTlHgS2 after structural relaxation.

Computed properties:
The value obtained for the uncorrected formation energy is -750 meV/atom.

a b c (Å): 4.134 9.854 7.917
angles (deg): 90.00 111.51 90.00
Sites, in units of the cell vectors:
Sr 0.000 0.078 0.250
Sr 0.000 0.922 0.750
Tl 0.500 0.300 0.750
Tl 0.500 0.700 0.250
Hg 0.000 0.500 0.000
Hg 0.000 0.500 0.500
S 0.306 0.170 0.985
S 0.306 0.830 0.485
S 0.694 0.170 0.515
S 0.694 0.830 0.015

***

Record 12
A plane-wave DFT calculation with PBE was carried out for Ta2HgS after structural relaxation.

Computed properties:
The value obtained for the uncorrected formation energy is 363 meV/atom.

a b c (Å): 4.609 4.609 4.609
angles (deg): 60.00 60.00 60.00
Sites, in units of the cell vectors:
Ta 0.250 0.250 0.250
Ta 0.750 0.750 0.750
Hg 0.000 0.000 0.000
S 0.500 0.500 0.500

***

Record 13
A plane-wave DFT calculation with PBE was carried out for TaHgS2 after structural relaxation.

Computed properties:
The value obtained for the uncorrected formation energy is -794 meV/atom.

a b c (Å): 3.329 3.329 9.764
angles (deg): 90.00 90.00 120.00
Sites, in units of the cell vectors:
Ta 0.000 0.000 0.000
Hg 0.333 0.667 0.500
S 0.333 0.667 0.160
S 0.333 0.667 0.840

***

Record 14
A plane-wave DFT calculation with PBE was carried out for TaHgS2 after structural relaxation.

Computed properties:
The value obtained for the uncorrected formation energy is -490 meV/atom.

a b c (Å): 7.215 7.215 5.903
angles (deg): 113.66 113.66 80.51
Sites, in units of the cell vectors:
Ta 0.000 0.000 0.000
Ta 0.000 0.000 0.500
Hg 0.500 0.500 0.259
Hg 0.500 0.500 0.759
S 0.000 0.278 0.387
S 0.000 0.722 0.113
S 0.278 0.000 0.887
S 0.722 0.000 0.613

***

Record 15
A plane-wave DFT calculation with PBE was carried out for TaHgS2 after structural relaxation.

Computed properties:
The value obtained for the uncorrected formation energy is -536 meV/atom.

a b c (Å): 7.297 7.297 18.530
angles (deg): 96.98 96.98 89.74
Sites, in units of the cell vectors:
Ta 0.068 0.198 0.813
Ta 0.069 0.765 0.808
Ta 0.198 0.068 0.313
Ta 0.235 0.931 0.692
Ta 0.765 0.069 0.308
Ta 0.802 0.932 0.687
Ta 0.931 0.235 0.192
Ta 0.932 0.802 0.187
Hg 0.129 0.600 0.442
Hg 0.384 0.401 0.065
Hg 0.400 0.871 0.058
Hg 0.401 0.384 0.565
Hg 0.599 0.616 0.435
Hg 0.600 0.129 0.942
Hg 0.616 0.599 0.935
Hg 0.871 0.400 0.558
S 0.005 0.083 0.407
S 0.083 0.005 0.907
S 0.091 0.498 0.876
S 0.227 0.773 0.250
S 0.233 0.310 0.244
S 0.310 0.233 0.744
S 0.327 0.673 0.750
S 0.498 0.091 0.376
S 0.502 0.909 0.624
S 0.673 0.327 0.250
S 0.690 0.767 0.256
S 0.767 0.690 0.756
S 0.773 0.227 0.750
S 0.909 0.502 0.124
S 0.917 0.995 0.093
S 0.995 0.917 0.593

***

Record 16
A plane-wave DFT calculation with PBE was carried out for TaHgS2 after structural relaxation.

Computed properties:
The value obtained for the uncorrected formation energy is 298 meV/atom.

a b c (Å): 4.619 4.619 3.241
angles (deg): 90.00 90.00 90.00
Sites, in units of the cell vectors:
Ta 0.000 0.000 0.000
Hg 0.500 0.500 0.000
S 0.000 0.500 0.500
S 0.500 0.000 0.500

***

Record 17
A plane-wave DFT calculation with PBE was carried out for TaHgS2 after structural relaxation.

Computed properties:
The value obtained for the uncorrected formation energy is -523 meV/atom.

a b c (Å): 6.438 6.438 17.626
angles (deg): 94.72 94.72 90.31
Sites, in units of the cell vectors:
Ta 0.168 0.799 0.670
Ta 0.194 0.336 0.820
Ta 0.201 0.832 0.830
Ta 0.336 0.194 0.320
Ta 0.664 0.806 0.680
Ta 0.799 0.168 0.170
Ta 0.806 0.664 0.180
Ta 0.832 0.201 0.330
Hg 0.144 0.386 0.574
Hg 0.356 0.627 0.410
Hg 0.373 0.644 0.090
Hg 0.386 0.144 0.074
Hg 0.614 0.856 0.926
Hg 0.627 0.356 0.910
Hg 0.644 0.373 0.590
Hg 0.856 0.614 0.426
S 0.049 0.951 0.250
S 0.054 0.413 0.247
S 0.120 0.149 0.423
S 0.149 0.120 0.923
S 0.152 0.591 0.924
S 0.409 0.848 0.576
S 0.413 0.054 0.747
S 0.417 0.583 0.750
S 0.583 0.417 0.250
S 0.587 0.946 0.253
S 0.591 0.152 0.424
S 0.848 0.409 0.076
S 0.851 0.880 0.077
S 0.880 0.851 0.577
S 0.946 0.587 0.753
S 0.951 0.049 0.750

***

Record 18
A plane-wave DFT calculation with PBE was carried out for TaHgS4 after structural relaxation.

Computed properties:
The value obtained for the uncorrected formation energy is -371 meV/atom.

a b c (Å): 8.192 8.192 7.018
angles (deg): 113.46 113.46 74.42
Sites, in units of the cell vectors:
Ta 0.093 0.093 0.408
Ta 0.907 0.907 0.592
Hg 0.394 0.394 0.219
Hg 0.606 0.606 0.781
S 0.052 0.772 0.902
S 0.174 0.826 0.500
S 0.228 0.948 0.098
S 0.282 0.282 0.637
S 0.718 0.718 0.363
S 0.772 0.052 0.902
S 0.826 0.174 0.500
S 0.948 0.228 0.098

***

Record 19
A plane-wave DFT calculation with PBE was carried out for TaHgS2 after structural relaxation.

Computed properties:
The value obtained for the uncorrected formation energy is -763 meV/atom.

a b c (Å): 3.372 3.372 9.821
angles (deg): 100.89 100.89 60.04
Sites, in units of the cell vectors:
Ta 0.000 0.000 0.000
Hg 0.500 0.500 0.500
S 0.274 0.274 0.839
S 0.726 0.726 0.161

***

Record 20
A plane-wave DFT calculation with PBE was carried out for TaHgS2 after structural relaxation.

Computed properties:
The value obtained for the uncorrected formation energy is -760 meV/atom.

a b c (Å): 10.226 10.226 10.226
angles (deg): 18.97 18.97 18.97
Sites, in units of the cell vectors:
Ta 0.000 0.000 0.000
Hg 0.500 0.500 0.500
S 0.384 0.384 0.384
S 0.616 0.616 0.616